one.
# Tl6InHg8

An optimized crystal structure of Tl6InHg8 (GGA-PBE, the Alexandria database).

a b c (Å): 7.9485 7.9485 7.9485
angles (deg): 71.06 71.06 71.06
Closest atoms and distances in Å follow each position.
Fractional coordinates of all 15 atoms:
1 Hg 0.0478 0.3891 0.8575  1 In 3.03, 3 Hg 3.07-3.40, 3 Tl 3.17-3.32
2 Hg 0.3891 0.8575 0.0478  1 In 3.03, 3 Hg 3.07-3.40, 3 Tl 3.17-3.32
3 Hg 0.1425 0.9522 0.6109  1 In 3.03, 3 Hg 3.07-3.40, 3 Tl 3.17-3.32
4 Hg 0.8575 0.0478 0.3891  1 In 3.03, 3 Hg 3.07-3.40, 3 Tl 3.17-3.32
5 Hg 0.2289 0.2289 0.2289  6 Hg 3.13-3.40
6 Hg 0.7711 0.7711 0.7711  6 Hg 3.13-3.40
7 Hg 0.6109 0.1425 0.9522  1 In 3.03, 3 Hg 3.07-3.40, 3 Tl 3.17-3.32
8 Hg 0.9522 0.6109 0.1425  1 In 3.03, 3 Hg 3.07-3.40, 3 Tl 3.17-3.32
9 Tl 0.3736 0.5843 0.8216  5 Hg 3.17-3.48
10 Tl 0.6264 0.4157 0.1784  5 Hg 3.17-3.48
11 Tl 0.5843 0.8216 0.3736  5 Hg 3.17-3.48
12 Tl 0.8216 0.3736 0.5843  5 Hg 3.17-3.48
13 Tl 0.1784 0.6264 0.4157  5 Hg 3.17-3.48
14 Tl 0.4157 0.1784 0.6264  5 Hg 3.17-3.48
15 In 0.0000 0.0000 0.0000  6 Hg 3.03

## Properties
N(E_F)   8.403 states/eV per cell
Magnetization   0.00 μB/f.u.
SG   R-3 (148)



two.
# Tl6InHg8

An optimized crystal structure of Tl6InHg8 (GGA-PBE, the Alexandria database).

a b c (Å): 6.1214 9.0700 9.0700
angles (deg): 120.00 90.00 90.00
Closest atoms and distances in Å follow each position.
Fractional coordinates of all 15 atoms:
1 Hg 0.1560 0.3333 0.6667  3 Hg 3.08
2 Hg 0.1801 0.2197 0.9344  1 In 3.06, 3 Hg 3.08-3.22, 4 Tl 3.29-3.38
3 Hg 0.1801 0.0656 0.2853  1 In 3.06, 3 Hg 3.08-3.22, 4 Tl 3.29-3.38
4 Hg 0.8440 0.6667 0.3333  3 Hg 3.08
5 Hg 0.8199 0.7803 0.0656  1 In 3.06, 3 Hg 3.08-3.22, 4 Tl 3.29-3.38
6 Hg 0.8199 0.9344 0.7147  1 In 3.06, 3 Hg 3.08-3.22, 4 Tl 3.29-3.38
7 Hg 0.1801 0.7147 0.7803  1 In 3.06, 3 Hg 3.08-3.22, 4 Tl 3.29-3.38
8 Hg 0.8199 0.2853 0.2197  1 In 3.06, 3 Hg 3.08-3.22, 4 Tl 3.29-3.38
9 Tl 0.3115 0.6558 0.1029  7 Hg 3.29-3.68, 3 Tl 3.39-3.54
10 Tl 0.3115 0.8971 0.5529  7 Hg 3.29-3.68, 3 Tl 3.39-3.54
11 Tl 0.3115 0.4471 0.3442  7 Hg 3.29-3.68, 3 Tl 3.39-3.54
12 Tl 0.6885 0.3442 0.8971  7 Hg 3.29-3.68, 3 Tl 3.39-3.54
13 Tl 0.6885 0.1029 0.4471  7 Hg 3.29-3.68, 3 Tl 3.39-3.54
14 Tl 0.6885 0.5529 0.6558  7 Hg 3.29-3.68, 3 Tl 3.39-3.54
15 In 0.5000 0.0000 0.0000  6 Hg 3.06

## Properties
N(E_F)   8.555 states/eV per cell
Magnetization   0.00 μB/f.u.
SG   P-3 (147)



On energetic grounds, two is preferred over the next structure by 0.8 kJ/mol of atoms.



one.
# Tl3In2Hg2

An optimized crystal structure of Tl3In2Hg2 (GGA-PBE, the Alexandria database).

a b c (Å): 3.6481 3.8082 14.7221
angles (deg): 82.57 90.00 90.00
Closest atoms and distances in Å follow each position.
Fractional coordinates of all 7 atoms:
1 In 0.5000 0.7071 0.5859  2 In 3.15, 4 Hg 3.15
2 In 0.5000 0.2929 0.4141  2 In 3.15, 4 Hg 3.15
3 Hg 0.0000 0.8520 0.2961  4 In 3.15, 4 Tl 3.34
4 Hg 0.0000 0.1480 0.7039  4 In 3.15, 4 Tl 3.34
5 Tl 0.5000 0.5777 0.8446  4 Hg 3.34, 6 Tl 3.48-3.65
6 Tl 0.5000 0.4223 0.1554  4 Hg 3.34, 6 Tl 3.48-3.65
7 Tl 0.0000 0.0000 0.0000  12 Tl 3.48-3.81

## Properties
N(E_F)   3.078 states/eV per cell
Magnetization   0.00 μB/f.u.
SG   Cmmm (65)



two.
# Tl3In2Hg2

An optimized crystal structure of Tl3In2Hg2 (GGA-PBE, the Alexandria database).

a b c (Å): 4.9377 3.3830 12.4034
angles (deg): 97.84 101.48 90.00
Closest atoms and distances in Å follow each position.
Fractional coordinates of all 7 atoms:
1 In 0.4282 0.4282 0.8564  2 Hg 3.02
2 In 0.5718 0.5718 0.1436  2 Hg 3.02
3 Hg 0.8562 0.3562 0.7125  2 In 3.02
4 Hg 0.1438 0.6438 0.2875  2 In 3.02
5 Tl 0.7103 0.2103 0.4205  6 Tl 3.38-3.55, 5 Hg 3.39-3.51, 2 In 3.74
6 Tl 0.0000 0.0000 0.0000  2 Tl 3.38, 8 In 3.46
7 Tl 0.2897 0.7897 0.5795  6 Tl 3.38-3.55, 5 Hg 3.39-3.51, 2 In 3.74

## Properties
N(E_F)   2.508 states/eV per cell
Magnetization   0.00 μB/f.u.
SG   Immm (71)



On energetic grounds, two is preferred over the next structure by 1.7 kJ/mol of atoms.



one.
# Tl3InHg4

An optimized crystal structure of Tl3InHg4 (GGA-PBE, the Alexandria database).

a b c (Å): 7.2035 7.2035 7.2035
angles (deg): 79.22 125.53 127.30
Closest atoms and distances in Å follow each position.
Fractional coordinates of all 8 atoms:
1 Hg 0.0964 0.2410 0.3374  1 In 3.06, 5 Tl 3.16-3.35
2 Hg 0.0986 0.7588 0.3398  2 Hg 3.09-3.31, 1 In 3.20, 2 Tl 3.41
3 Hg 0.5810 0.2412 0.3398  2 Hg 3.09-3.31, 1 In 3.20, 2 Tl 3.41
4 Hg 0.0964 0.7590 0.8554  1 In 3.06, 5 Tl 3.16-3.35
5 In 0.2548 0.5000 0.7548  4 Hg 3.06-3.20, 4 Tl 3.25-3.34
6 Tl 0.8417 0.0000 0.8417  2 Hg 3.16, 2 In 3.25, 2 Tl 3.47
7 Tl 0.5910 0.2751 0.8661  6 Hg 3.20-3.41, 1 In 3.34, 1 Tl 3.47
8 Tl 0.5910 0.7249 0.3159  6 Hg 3.20-3.41, 1 In 3.34, 1 Tl 3.47

## Properties
N(E_F)   3.373 states/eV per cell
Magnetization   0.00 μB/f.u.
SG   Imm2 (44)



two.
# Tl3InHg4

An optimized crystal structure of Tl3InHg4 (GGA-PBE, the Alexandria database).

a b c (Å): 3.6887 3.6887 16.6625
angles (deg): 90.00 90.00 90.00
Closest atoms and distances in Å follow each position.
Fractional coordinates of all 8 atoms:
1 Tl 0.5000 0.5000 0.2439  8 Hg 3.36-3.38, 4 Tl 3.69
2 Tl 0.5000 0.5000 0.5000  8 Hg 3.36, 4 Tl 3.69
3 Tl 0.5000 0.5000 0.7561  8 Hg 3.36-3.38, 4 Tl 3.69
4 Hg 0.0000 0.0000 0.8830  4 In 3.26, 4 Tl 3.36
5 Hg 0.0000 0.0000 0.3726  8 Tl 3.36-3.38, 4 Hg 3.69
6 Hg 0.0000 0.0000 0.1170  4 In 3.26, 4 Tl 3.36
7 Hg 0.0000 0.0000 0.6274  8 Tl 3.36-3.38, 4 Hg 3.69
8 In 0.5000 0.5000 0.0000  8 Hg 3.26

## Properties
N(E_F)   2.839 states/eV per cell
Magnetization   0.00 μB/f.u.
SG   P4/mmm (123)



On energetic grounds, two is preferred over the next structure by 2.6 kJ/mol of atoms.



one.
# TlIn6Hg

An optimized crystal structure of TlIn6Hg (GGA-PBE, the Alexandria database).

a b c (Å): 5.6758 6.6865 6.6865
angles (deg): 119.86 90.00 90.00
Closest atoms and distances in Å follow each position.
Fractional coordinates of all 8 atoms:
1 Tl 0.5000 0.4126 0.5874  12 In 3.33-3.46
2 In 0.0000 0.0808 0.4116  8 In 3.30-3.46, 2 Hg 3.32-3.37, 2 Tl 3.43
3 In 0.5000 0.9174 0.0826  8 In 3.31-3.42, 2 Tl 3.35, 2 Hg 3.46
4 In 0.5000 0.4152 0.0870  8 In 3.31-3.46, 2 Tl 3.33-3.35, 2 Hg 3.41
5 In 0.0000 0.5884 0.9192  8 In 3.30-3.46, 2 Hg 3.32-3.37, 2 Tl 3.43
6 In 0.0000 0.5834 0.4166  8 In 3.34-3.42, 2 Hg 3.35, 2 Tl 3.46
7 In 0.5000 0.9130 0.5848  8 In 3.31-3.46, 2 Tl 3.33-3.35, 2 Hg 3.41
8 Hg 0.0000 0.0887 0.9113  12 In 3.32-3.46

## Properties
N(E_F)   3.120 states/eV per cell
Magnetization   0.00 μB/f.u.
SG   Amm2 (38)



two.
# TlIn6Hg

An optimized crystal structure of TlIn6Hg (GGA-PBE, the Alexandria database).

a b c (Å): 3.5899 11.0780 7.8454
angles (deg): 134.91 90.00 90.00
Closest atoms and distances in Å follow each position.
Fractional coordinates of all 8 atoms:
1 Hg 0.0000 0.8576 0.7153  6 In 3.19-3.30, 2 Tl 3.32
2 In 0.0000 0.3950 0.3004  9 In 3.30-3.59, 2 Tl 3.38, 1 Hg 3.65
3 In 0.5000 0.6526 0.7981  9 In 3.30-3.59, 2 Hg 3.30, 1 Tl 3.63
4 In 0.0000 0.3433 0.6867  10 In 3.30-3.59, 2 Tl 3.43
5 In 0.5000 0.0945 0.1889  2 Hg 3.19, 8 In 3.30-3.49
6 In 0.5000 0.1455 0.7981  9 In 3.30-3.59, 2 Hg 3.30, 1 Tl 3.63
7 In 0.0000 0.9054 0.3004  9 In 3.30-3.59, 2 Tl 3.38, 1 Hg 3.65
8 Tl 0.5000 0.6061 0.2121  2 Hg 3.32, 8 In 3.38-3.63, 2 Tl 3.59

## Properties
N(E_F)   3.480 states/eV per cell
Magnetization   0.00 μB/f.u.
SG   Amm2 (38)



On energetic grounds, two is preferred over the next structure by 1.1 kJ/mol of atoms.